Record 1
TbHCl4 | PBE | relaxed

Values from the calculation:
Calculated volume (A^3/atom): 33.25
Size of the total moment (μB per formula unit): 0.000
Total DFT energy (no corrections) (eV/atom): -4.224

Cell lengths 6.166, 18.376, 7.058 Å; angles 90.00, 93.70, 90.00 degrees
Space group C2/c (No. 15)
Symmetry-distinct sites (fractional):
1 Tb 0.000 0.054 0.250
2 H 0.000 0.347 0.750
3 Cl 0.227 0.343 0.861
4 Cl 0.228 0.049 0.584

Record 2
TcH3Cl | PBE | relaxed

Values from the calculation:
Calculated volume (A^3/atom): 9.73
Size of the total moment (μB per formula unit): 2.986
Total DFT energy (no corrections) (eV/atom): -2.807

Cell lengths 3.651, 3.651, 3.651 Å; angles 90.00, 90.00, 90.00 degrees
Space group Pm-3m (No. 221)
Symmetry-distinct sites (fractional):
1 Tc 0.000 0.000 0.000
2 H 0.000 0.500 0.500
3 Cl 0.500 0.500 0.500

Record 3
TcHCl4 | PBE | relaxed

Values from the calculation:
Calculated volume (A^3/atom): 24.93
Size of the total moment (μB per formula unit): 2.001
Total DFT energy (no corrections) (eV/atom): -4.063

Cell lengths 5.773, 17.265, 6.034 Å; angles 90.00, 95.79, 90.00 degrees
Space group C2/c (No. 15)
Symmetry-distinct sites (fractional):
1 Tc 0.000 0.046 0.250
2 H 0.000 0.359 0.750
3 Cl 0.238 0.051 0.604
4 Cl 0.249 0.147 0.123

Record 4
TcHCl | PBE | relaxed

Values from the calculation:
Calculated volume (A^3/atom): 16.06
Size of the total moment (μB per formula unit): 0.146
Total DFT energy (no corrections) (eV/atom): -5.181

Cell lengths 3.997, 7.046, 10.498 Å; angles 88.84, 82.43, 80.42 degrees
Space group P1 (No. 1)
Symmetry-distinct sites (fractional):
1 Tc 0.000 0.000 0.000
2 Tc 0.007 0.360 0.057
3 Tc 0.146 0.632 0.619
4 Tc 0.292 0.907 0.534
5 Tc 0.452 0.166 0.129
6 Tc 0.693 0.503 0.516
7 H 0.190 0.456 0.499
8 H 0.515 0.968 0.016
9 H 0.703 0.751 0.477
10 H 0.712 0.506 0.673
11 H 0.717 0.226 0.973
12 H 0.914 0.993 0.157
13 Cl 0.186 0.379 0.828
14 Cl 0.195 0.667 0.064
15 Cl 0.244 0.877 0.772
16 Cl 0.325 0.944 0.309
17 Cl 0.673 0.404 0.267
18 Cl 0.769 0.150 0.559

Record 5
Tc2HCl | PBE | relaxed

Values from the calculation:
Calculated volume (A^3/atom): 11.64
Size of the total moment (μB per formula unit): 0.000
Total DFT energy (no corrections) (eV/atom): -5.361

Cell lengths 5.710, 5.710, 5.710 Å; angles 90.00, 90.00, 90.00 degrees
Space group Fm-3m (No. 225)
Symmetry-distinct sites (fractional):
1 Tc 0.250 0.250 0.250
2 H 0.000 0.000 0.000
3 Cl 0.000 0.000 0.500

Record 6
TcHCl3 | PBE | relaxed

Values from the calculation:
Calculated volume (A^3/atom): 14.89
Size of the total moment (μB per formula unit): 0.000
Total DFT energy (no corrections) (eV/atom): -2.858

Cell lengths 4.207, 4.207, 4.207 Å; angles 90.00, 90.00, 90.00 degrees
Space group Pm-3m (No. 221)
Symmetry-distinct sites (fractional):
1 Tc 0.000 0.000 0.000
2 H 0.500 0.500 0.500
3 Cl 0.000 0.500 0.500

Record 7
Tc2HCl | PBE | relaxed

Values from the calculation:
Calculated volume (A^3/atom): 13.17
Size of the total moment (μB per formula unit): 0.000
Total DFT energy (no corrections) (eV/atom): -5.931

Cell lengths 4.840, 4.840, 8.998 Å; angles 90.00, 90.00, 90.00 degrees
Space group I-42d (No. 122)
Symmetry-distinct sites (fractional):
1 Tc 0.132 0.250 0.125
2 H 0.000 0.000 0.000
3 Cl 0.000 0.000 0.500

Record 8
TcHCl3 | PBE | relaxed

Values from the calculation:
Calculated volume (A^3/atom): 23.15
Size of the total moment (μB per formula unit): 4.406
Total DFT energy (no corrections) (eV/atom): -3.703

Cell lengths 4.873, 4.873, 4.873 Å; angles 90.00, 90.00, 90.00 degrees
Space group Pm-3m (No. 221)
Symmetry-distinct sites (fractional):
1 Tc 0.000 0.000 0.000
2 H 0.500 0.500 0.500
3 Cl 0.000 0.000 0.500

Record 9
TcH2Cl6 | PBE | relaxed

Values from the calculation:
Calculated volume (A^3/atom): 29.24
Size of the total moment (μB per formula unit): 3.000
Total DFT energy (no corrections) (eV/atom): -3.729

Cell lengths 14.227, 12.227, 6.069 Å; angles 90.00, 94.26, 90.00 degrees
Space group C2/c (No. 15)
Symmetry-distinct sites (fractional):
1 Tc 0.000 0.084 0.250
2 H 0.130 0.477 0.777
3 Cl 0.094 0.066 0.592
4 Cl 0.100 0.209 0.124
5 Cl 0.132 0.414 0.604

Record 10
TcH3Cl | PBE | relaxed

Values from the calculation:
Calculated volume (A^3/atom): 10.20
Size of the total moment (μB per formula unit): 3.000
Total DFT energy (no corrections) (eV/atom): -3.820

Cell lengths 3.708, 3.708, 3.708 Å; angles 90.00, 90.00, 90.00 degrees
Space group Pm-3m (No. 221)
Symmetry-distinct sites (fractional):
1 Tc 0.000 0.000 0.000
2 H 0.000 0.000 0.500
3 Cl 0.500 0.500 0.500

Record 11
TcHCl3 | PBE | relaxed

Values from the calculation:
Calculated volume (A^3/atom): 28.66
Size of the total moment (μB per formula unit): 2.985
Total DFT energy (no corrections) (eV/atom): -4.067

Cell lengths 5.794, 5.996, 8.700 Å; angles 72.59, 85.75, 84.20 degrees
Space group P-1 (No. 2)
Symmetry-distinct sites (fractional):
1 Tc 0.014 0.059 0.356
2 H 0.482 0.830 0.824
3 Cl 0.244 0.714 0.497
4 Cl 0.258 0.984 0.840
5 Cl 0.284 0.332 0.182

Record 12
Tc3HCl | PBE | relaxed

Values from the calculation:
Calculated volume (A^3/atom): 12.63
Size of the total moment (μB per formula unit): 0.000
Total DFT energy (no corrections) (eV/atom): -6.248

Cell lengths 3.982, 3.982, 3.982 Å; angles 90.00, 90.00, 90.00 degrees
Space group Pm-3m (No. 221)
Symmetry-distinct sites (fractional):
1 Tc 0.000 0.000 0.500
2 H 0.000 0.000 0.000
3 Cl 0.500 0.500 0.500

Record 13
TcH2Cl8 | PBE | relaxed

Values from the calculation:
Calculated volume (A^3/atom): 28.20
Size of the total moment (μB per formula unit): 1.013
Total DFT energy (no corrections) (eV/atom): -3.353

Cell lengths 11.060, 6.980, 9.275 Å; angles 90.00, 119.96, 90.00 degrees
Space group C2/m (No. 12)
Symmetry-distinct sites (fractional):
1 Tc 0.000 0.000 0.000
2 H 0.224 0.000 0.463
3 Cl 0.012 0.000 0.756
4 Cl 0.142 0.500 0.442
5 Cl 0.169 0.232 0.109

Record 14
TiTcHCl2 | PBE | relaxed

Values from the calculation:
Calculated volume (A^3/atom): 21.24
Size of the total moment (μB per formula unit): 0.106
Total DFT energy (no corrections) (eV/atom): -4.489

Cell lengths 4.696, 4.696, 4.816 Å; angles 90.00, 90.00, 90.00 degrees
Space group P4/mmm (No. 123)
Symmetry-distinct sites (fractional):
1 Ti 0.000 0.000 0.000
2 Tc 0.000 0.000 0.500
3 H 0.500 0.500 0.000
4 Cl 0.000 0.500 0.500

Record 15
TlTcHCl6 | PBE | relaxed

Values from the calculation:
Calculated volume (A^3/atom): 27.77
Size of the total moment (μB per formula unit): 3.000
Total DFT energy (no corrections) (eV/atom): -3.735

Cell lengths 6.294, 6.321, 6.800 Å; angles 73.27, 74.77, 86.95 degrees
Space group P1 (No. 1)
Symmetry-distinct sites (fractional):
1 Tl 0.000 0.000 0.000
2 Tc 0.451 0.392 0.508
3 H 0.476 0.873 0.520
4 Cl 0.116 0.482 0.719
5 Cl 0.278 0.084 0.474
6 Cl 0.373 0.626 0.203
7 Cl 0.529 0.164 0.824
8 Cl 0.634 0.709 0.555
9 Cl 0.794 0.318 0.306

Record 16
TlTc2HCl | PBE | relaxed

Values from the calculation:
Calculated volume (A^3/atom): 18.48
Size of the total moment (μB per formula unit): 2.752
Total DFT energy (no corrections) (eV/atom): -4.786

Cell lengths 3.849, 3.849, 6.237 Å; angles 90.00, 90.00, 90.00 degrees
Space group P4/mmm (No. 123)
Symmetry-distinct sites (fractional):
1 Tl 0.000 0.000 0.000
2 Tc 0.000 0.500 0.500
3 H 0.500 0.500 0.500
4 Cl 0.500 0.500 0.000

Record 17
YTc2HCl | PBE | relaxed

Values from the calculation:
Calculated volume (A^3/atom): 16.12
Size of the total moment (μB per formula unit): 0.000
Total DFT energy (no corrections) (eV/atom): -6.470

Cell lengths 3.722, 3.722, 5.817 Å; angles 90.00, 90.00, 90.00 degrees
Space group P4/mmm (No. 123)
Symmetry-distinct sites (fractional):
1 Y 0.000 0.000 0.000
2 Tc 0.000 0.500 0.500
3 H 0.500 0.500 0.500
4 Cl 0.500 0.500 0.000

Record 18
Te3HCl | PBE | relaxed

Values from the calculation:
Calculated volume (A^3/atom): 21.68
Size of the total moment (μB per formula unit): 0.000
Total DFT energy (no corrections) (eV/atom): -2.475

Cell lengths 4.768, 4.768, 4.768 Å; angles 90.00, 90.00, 90.00 degrees
Space group Pm-3m (No. 221)
Symmetry-distinct sites (fractional):
1 Te 0.000 0.000 0.500
2 H 0.000 0.000 0.000
3 Cl 0.500 0.500 0.500

Record 19
TeHCl4 | PBE | relaxed

Values from the calculation:
Calculated volume (A^3/atom): 33.96
Size of the total moment (μB per formula unit): 0.000
Total DFT energy (no corrections) (eV/atom): -2.761

Cell lengths 7.982, 7.293, 7.001 Å; angles 90.00, 90.00, 90.00 degrees
Space group Pmn2_1 (No. 31)
Symmetry-distinct sites (fractional):
1 Te 0.000 0.018 0.000
2 H 0.000 0.749 0.591
3 Cl 0.000 0.313 0.132
4 Cl 0.000 0.647 0.742
5 Cl 0.247 0.923 0.246

Record 20
TeH3Cl | PBE | relaxed

Values from the calculation:
Calculated volume (A^3/atom): 17.98
Size of the total moment (μB per formula unit): 0.000
Total DFT energy (no corrections) (eV/atom): -3.063

Cell lengths 5.5502, 5.5502, 10.1100 Å; angles 90.00, 90.00, 120.00 degrees
Space group R3m (No. 160, hexagonal axes)
Symmetry-distinct sites (fractional):
1 Te 0.0000 0.0000 0.0000
2 H 0.0390 0.5195 0.7634
3 Cl 0.0000 0.0000 0.5617

Record 21
TeHCl6 | PBE | relaxed

Values from the calculation:
Calculated volume (A^3/atom): 30.91
Size of the total moment (μB per formula unit): 0.000
Total DFT energy (no corrections) (eV/atom): -2.595

Cell lengths 6.607, 6.877, 6.899 Å; angles 81.20, 63.76, 61.86 degrees
Space group P-1 (No. 2)
Symmetry-distinct sites (fractional):
1 Te 0.000 0.000 0.000
2 H 0.500 0.000 0.000
3 Cl 0.137 0.726 0.242
4 Cl 0.142 0.713 0.736
5 Cl 0.447 0.988 0.804

Record 22
TeHCl3 | PBE | relaxed

Values from the calculation:
Calculated volume (A^3/atom): 29.70
Size of the total moment (μB per formula unit): 0.973
Total DFT energy (no corrections) (eV/atom): -2.296

Cell lengths 5.296, 5.296, 5.296 Å; angles 90.00, 90.00, 90.00 degrees
Space group Pm-3m (No. 221)
Symmetry-distinct sites (fractional):
1 Te 0.000 0.000 0.000
2 H 0.500 0.500 0.500
3 Cl 0.000 0.000 0.500

Record 23
TeH3Cl | PBE | relaxed

Values from the calculation:
Calculated volume (A^3/atom): 12.23
Size of the total moment (μB per formula unit): 0.000
Total DFT energy (no corrections) (eV/atom): -2.713

Cell lengths 3.940, 3.940, 3.940 Å; angles 90.00, 90.00, 90.00 degrees
Space group Pm-3m (No. 221)
Symmetry-distinct sites (fractional):
1 Te 0.000 0.000 0.000
2 H 0.000 0.000 0.500
3 Cl 0.500 0.500 0.500

Record 24
TeH3Cl | PBE | relaxed

Values from the calculation:
Calculated volume (A^3/atom): 11.62
Size of the total moment (μB per formula unit): 0.000
Total DFT energy (no corrections) (eV/atom): -1.936

Cell lengths 3.874, 3.874, 3.874 Å; angles 90.00, 90.00, 90.00 degrees
Space group Pm-3m (No. 221)
Symmetry-distinct sites (fractional):
1 Te 0.000 0.000 0.000
2 H 0.000 0.500 0.500
3 Cl 0.500 0.500 0.500

Record 25
TeHCl3 | PBE | relaxed

Values from the calculation:
Calculated volume (A^3/atom): 17.75
Size of the total moment (μB per formula unit): 0.000
Total DFT energy (no corrections) (eV/atom): -2.010

Cell lengths 4.461, 4.461, 4.461 Å; angles 90.00, 90.00, 90.00 degrees
Space group Pm-3m (No. 221)
Symmetry-distinct sites (fractional):
1 Te 0.000 0.000 0.000
2 H 0.500 0.500 0.500
3 Cl 0.000 0.500 0.500